{
  "formula": "TiTlWO6",
  "functional": "PBE+U",
  "state": "relaxed",
  "lattice_angstrom": [[5.2565, 0.0000, 0.0000], [2.6283, 4.5522, 0.0000], [0.0001, -0.0001, 5.2219]],
  "species": ["O", "O", "O", "O", "O", "O", "Tl", "W", "Ti"],
  "fractional_positions": [[0.0033, 0.6158, 0.7081], [0.6157, 0.0033, 0.2919], [0.0033, 0.3809, 0.2919], [0.3809, 0.6158, 0.2918], [0.3809, 0.0033, 0.7081], [0.6157, 0.3809, 0.7081], [0.0000, 0.0000, 0.0000], [0.3333, 0.3333, 0.5000], [0.6666, 0.6667, 0.5000]],
  "e_tot_ev_per_atom": -7.26,
  "n_ef_per_ev_cell": 3.2
}